Density functional theory data (PBE) for a geometry-optimized ReMo2W structure.

Lattice parameters (Å, degrees): 9.494 9.494 9.494 16.97 16.97 16.97
Positions (direct):
1 Mo 0.000 0.000 0.000
2 Mo 0.247 0.247 0.247
3 Re 0.501 0.501 0.501
4 W 0.753 0.753 0.753

Properties
**Total moment**: 0.0 Bohr magnetons per cell
**E**: -0.4210 Ha/atom
**SG**: R3m (160)